# 1
# Cs2ScTlCl6

An optimized crystal structure of Cs2ScTlCl6 (PBEsol, Alexandria).

```
Cs2ScTlCl6
1.0
0.000 5.456 5.456
5.456 0.000 5.456
5.456 5.456 0.000
Cs Sc Tl Cl
2 1 1 6
direct
0.250 0.250 0.250 Cs
0.750 0.750 0.750 Cs
0.000 0.000 0.000 Sc
0.500 0.500 0.500 Tl
0.226 0.226 0.774 Cl
0.226 0.774 0.226 Cl
0.226 0.774 0.774 Cl
0.774 0.226 0.226 Cl
0.774 0.226 0.774 Cl
0.774 0.774 0.226 Cl
```

Properties
Total magnetic moment = 0.000 μB/atom
Symmetry = No. 225
Calculated density = 3.72 g/cm³

---

# 2
# CsSeCl2

An optimized crystal structure of CsSeCl2 (PBEsol, Alexandria).

```
CsSeCl2
1.0
7.728 0.000 0.000
0.000 7.728 0.000
0.000 0.000 7.728
Cs Se Cl
4 4 8
direct
0.000 0.000 0.000 Cs
0.000 0.500 0.500 Cs
0.500 0.000 0.500 Cs
0.500 0.500 0.000 Cs
0.000 0.000 0.500 Se
0.000 0.500 0.000 Se
0.500 0.000 0.000 Se
0.500 0.500 0.500 Se
0.250 0.250 0.250 Cl
0.250 0.250 0.750 Cl
0.250 0.750 0.250 Cl
0.250 0.750 0.750 Cl
0.750 0.250 0.250 Cl
0.750 0.250 0.750 Cl
0.750 0.750 0.250 Cl
0.750 0.750 0.750 Cl
```

Properties
Total magnetic moment = 0.751 μB/atom
Symmetry = No. 225
Calculated density = 4.07 g/cm³

---

# 3
# CsSe2Cl

An optimized crystal structure of CsSe2Cl (PBEsol, Alexandria).

```
CsSe2Cl
1.0
4.923 0.000 0.000
-2.461 4.263 0.000
0.000 0.000 18.579
Cs Se Cl
3 6 3
direct
0.000 0.000 0.000 Cs
0.333 0.667 0.667 Cs
0.667 0.333 0.333 Cs
0.000 0.000 0.180 Se
0.000 0.000 0.820 Se
0.333 0.667 0.487 Se
0.333 0.667 0.847 Se
0.667 0.333 0.153 Se
0.667 0.333 0.513 Se
0.000 0.000 0.500 Cl
0.333 0.667 0.167 Cl
0.667 0.333 0.833 Cl
```

Properties
Total magnetic moment = 0.000 μB/atom
Symmetry = No. 166
Calculated density = 4.17 g/cm³

---

# 4
# Cs3SiCl

An optimized crystal structure of Cs3SiCl (PBEsol, Alexandria).

```
Cs3SiCl
1.0
6.420 0.000 0.000
0.000 6.420 0.000
0.000 0.000 6.420
Cs Si Cl
3 1 1
direct
0.000 0.000 0.500 Cs
0.000 0.500 0.000 Cs
0.500 0.000 0.000 Cs
0.500 0.500 0.500 Si
0.000 0.000 0.000 Cl
```

Properties
Total magnetic moment = 0.400 μB/atom
Symmetry = No. 221
Calculated density = 2.90 g/cm³

---

# 5
# CsSi2Cl

An optimized crystal structure of CsSi2Cl (PBEsol, Alexandria).

```
CsSi2Cl
1.0
7.404 0.000 0.000
0.000 7.404 0.000
0.000 0.000 7.404
Cs Si Cl
4 8 4
direct
0.000 0.000 0.000 Cs
0.000 0.500 0.500 Cs
0.500 0.000 0.500 Cs
0.500 0.500 0.000 Cs
0.250 0.250 0.250 Si
0.250 0.250 0.750 Si
0.250 0.750 0.250 Si
0.250 0.750 0.750 Si
0.750 0.250 0.250 Si
0.750 0.250 0.750 Si
0.750 0.750 0.250 Si
0.750 0.750 0.750 Si
0.000 0.000 0.500 Cl
0.000 0.500 0.000 Cl
0.500 0.000 0.000 Cl
0.500 0.500 0.500 Cl
```

Properties
Total magnetic moment = 0.000 μB/atom
Symmetry = No. 225
Calculated density = 3.67 g/cm³

---

# 6
# CsSrSiCl2

An optimized crystal structure of CsSrSiCl2 (PBEsol, Alexandria).

```
CsSrSiCl2
1.0
5.407 0.000 0.000
0.000 5.407 0.000
0.000 0.000 6.318
Cs Sr Si Cl
1 1 1 2
direct
0.000 0.000 0.000 Cs
0.500 0.500 0.000 Sr
0.000 0.000 0.500 Si
0.000 0.500 0.500 Cl
0.500 0.000 0.500 Cl
```

Properties
Total magnetic moment = 0.001 μB/atom
Symmetry = No. 123
Calculated density = 2.87 g/cm³

---

# 7
# CsSiW2Cl

An optimized crystal structure of CsSiW2Cl (PBEsol, Alexandria).

```
CsSiW2Cl
1.0
4.438 0.000 0.000
0.000 4.438 0.000
0.000 0.000 5.928
Cs Si W Cl
1 1 2 1
direct
0.000 0.000 0.000 Cs
0.500 0.500 0.000 Si
0.000 0.500 0.500 W
0.500 0.000 0.500 W
0.000 0.000 0.500 Cl
```

Properties
Total magnetic moment = 0.000 μB/atom
Symmetry = No. 123
Calculated density = 8.02 g/cm³

---

# 8
# Cs3SmCl6

An optimized crystal structure of Cs3SmCl6 (PBEsol, Alexandria).

```
Cs3SmCl6
1.0
0.000 5.870 5.870
5.870 0.000 5.870
5.870 5.870 0.000
Cs Sm Cl
3 1 6
direct
0.000 0.000 0.000 Cs
0.250 0.250 0.250 Cs
0.750 0.750 0.750 Cs
0.500 0.500 0.500 Sm
0.273 0.273 0.727 Cl
0.273 0.727 0.273 Cl
0.273 0.727 0.727 Cl
0.727 0.273 0.273 Cl
0.727 0.273 0.727 Cl
0.727 0.727 0.273 Cl
```

Properties
Total magnetic moment = 0.000 μB/atom
Symmetry = No. 225
Calculated density = 3.13 g/cm³

---

# 9
# CsSnCl3

An optimized crystal structure of CsSnCl3 (PBEsol, Alexandria).

```
CsSnCl3
1.0
5.606 0.000 0.000
0.000 7.607 0.000
-4.933 0.000 15.501
Cs Sn Cl
4 4 12
direct
0.086 0.017 0.344 Cs
0.086 0.483 0.844 Cs
0.914 0.517 0.156 Cs
0.914 0.983 0.656 Cs
0.370 0.532 0.609 Sn
0.370 0.968 0.109 Sn
0.630 0.032 0.891 Sn
0.630 0.468 0.391 Sn
0.100 0.033 0.883 Cl
0.100 0.467 0.383 Cl
0.315 0.668 0.041 Cl
0.315 0.832 0.541 Cl
0.492 0.195 0.746 Cl
0.492 0.305 0.246 Cl
0.508 0.695 0.754 Cl
0.508 0.805 0.254 Cl
0.685 0.168 0.459 Cl
0.685 0.332 0.959 Cl
0.900 0.533 0.617 Cl
0.900 0.967 0.117 Cl
```

Properties
Total magnetic moment = 0.000 μB/atom
Symmetry = No. 14
Calculated density = 3.60 g/cm³

---

# 10
# CsSnCl3

An optimized crystal structure of CsSnCl3 (PBEsol, Alexandria).

```
CsSnCl3
1.0
5.501 0.000 0.000
0.000 5.501 0.000
0.000 0.000 5.501
Cs Sn Cl
1 1 3
direct
0.000 0.000 0.000 Cs
0.500 0.500 0.500 Sn
0.000 0.500 0.500 Cl
0.500 0.000 0.500 Cl
0.500 0.500 0.000 Cl
```

Properties
Total magnetic moment = 0.000 μB/atom
Symmetry = No. 221
Calculated density = 3.57 g/cm³

---

# 11
# CsSn2Cl5

An optimized crystal structure of CsSn2Cl5 (PBEsol, Alexandria).

```
CsSn2Cl5
1.0
-3.948 3.948 7.495
3.948 -3.948 7.495
3.948 3.948 -7.495
Cs Sn Cl
2 4 10
direct
0.250 0.250 0.000 Cs
0.750 0.750 0.000 Cs
0.171 0.671 0.842 Sn
0.329 0.171 0.500 Sn
0.671 0.829 0.500 Sn
0.829 0.329 0.158 Sn
0.000 0.000 0.000 Cl
0.038 0.216 0.500 Cl
0.216 0.716 0.178 Cl
0.284 0.462 0.500 Cl
0.462 0.962 0.178 Cl
0.500 0.500 0.000 Cl
0.538 0.038 0.822 Cl
0.716 0.538 0.500 Cl
0.784 0.284 0.822 Cl
0.962 0.784 0.500 Cl
```

Properties
Total magnetic moment = 0.000 μB/atom
Symmetry = No. 140
Calculated density = 3.89 g/cm³

---

# 12
# CsSrCl3

An optimized crystal structure of CsSrCl3 (PBEsol, Alexandria).

```
CsSrCl3
1.0
7.972 0.000 0.000
0.000 11.115 0.000
0.000 0.000 7.752
Cs Sr Cl
4 4 12
direct
0.051 0.250 0.015 Cs
0.449 0.750 0.515 Cs
0.551 0.250 0.485 Cs
0.949 0.750 0.985 Cs
0.000 0.000 0.500 Sr
0.000 0.500 0.500 Sr
0.500 0.000 0.000 Sr
0.500 0.500 0.000 Sr
0.018 0.750 0.426 Cl
0.210 0.539 0.792 Cl
0.210 0.961 0.792 Cl
0.290 0.039 0.292 Cl
0.290 0.461 0.292 Cl
0.482 0.250 0.926 Cl
0.518 0.750 0.074 Cl
0.710 0.539 0.708 Cl
0.710 0.961 0.708 Cl
0.790 0.039 0.208 Cl
0.790 0.461 0.208 Cl
0.982 0.250 0.574 Cl
```

Properties
Total magnetic moment = 0.000 μB/atom
Symmetry = No. 62
Calculated density = 3.16 g/cm³

---

| no. | E_form (uncorrected) (eV/atom) |
| --- | --- |
| 1 | -1.88 |
| 2 | -0.48 |
| 3 | -0.37 |
| 4 | -0.38 |
| 5 | 0.88 |
| 6 | -0.11 |
| 7 | 2.01 |
| 8 | -2.08 |
| 9 | -1.43 |
| 10 | -1.43 |
| 11 | -1.28 |
| 12 | -2.29 |